# 1
{"formula": "KYMn", "functional": "PBE-GGA", "state": "optimized geometry", "lattice": [[-2.982, 2.849, -3.841], [-2.544, -2.042, 4.595], [0.635, 2.840, 1.613]], "species": ["K", "Mn", "Y"], "frac_coords": [[0.000, 0.000, 0.029], [0.667, 0.333, 0.288], [0.333, 0.667, 0.683]], "magnetic_moment_mub_per_cell": 3.85, "delta_e_f_ev_per_atom": 0.927, "energy_ev_per_atom": -4.65, "dos_at_fermi_per_ev_fu": 5.12, "e_above_lowest_polymorph_ev_per_atom": 0.3836, "space_group": "No. 156"}

=====

# 2
{"formula": "TaSi2Ru", "functional": "PBE-GGA", "state": "optimized geometry", "lattice": [[-1.206, -3.318, -1.742], [1.424, 0.751, -2.416], [4.234, -2.447, 1.729]], "species": ["Ru", "Si", "Si", "Ta"], "frac_coords": [[0.500, 0.750, 0.750], [0.000, 0.751, 0.002], [0.000, 0.749, 0.498], [0.500, 0.250, 0.250]], "magnetic_moment_mub_per_cell": 0.00, "e_form_raw_mev_per_atom": -370, "energy_ev_per_atom": -8.36, "dos_at_fermi_per_ev_fu": 2.63, "space_group": "No. 47"}

=====

# 3
{"formula": "Ac3Zn4Pt4", "functional": "PBE-GGA", "state": "optimized geometry", "lattice": [[4.191, -0.002, 0.000], [-0.003, 4.450, -0.008], [2.075, 2.178, 13.483]], "species": ["Ac", "Ac", "Ac", "Zn", "Zn", "Zn", "Zn", "Pt", "Pt", "Pt", "Pt"], "frac_coords": [[0.148, 0.648, 0.705], [0.852, 0.352, 0.295], [0.000, 0.000, 0.000], [0.600, 0.100, 0.803], [0.250, 0.252, 0.498], [0.750, 0.748, 0.502], [0.400, 0.900, 0.197], [0.553, 0.555, 0.896], [0.447, 0.445, 0.104], [0.307, 0.805, 0.389], [0.693, 0.195, 0.611]], "magnetic_moment_mub_per_cell": 0.00, "delta_e_f_ev_per_atom": -0.846, "energy_ev_per_atom": -4.63, "dos_at_fermi_per_ev_fu": 6.03, "space_group": "No. 2"}

=====

# 4
{"formula": "BaPtNF2", "functional": "PBE-GGA", "state": "optimized geometry", "lattice": [[4.877, 0.000, 0.000], [0.000, 4.877, 0.000], [0.000, 0.000, 3.736]], "species": ["N", "Ba", "Pt", "F", "F"], "frac_coords": [[0.000, 0.000, 0.500], [0.500, 0.500, 0.500], [0.000, 0.000, 0.000], [0.000, 0.500, 0.000], [0.500, 0.000, 0.000]], "magnetic_moment_mub_per_cell": 0.00, "e_form_raw_mev_per_atom": -1338, "energy_ev_per_atom": -5.34, "dos_at_fermi_per_ev_fu": 2.09, "e_above_lowest_polymorph_ev_per_atom": 0.0000, "space_group": "No. 123"}

=====

# 5
{"formula": "TiGaMo2", "functional": "PBE-GGA", "state": "optimized geometry", "lattice": [[-2.950, 3.036, 0.614], [-2.759, -2.617, -0.319], [0.149, -0.616, 3.763]], "species": ["Mo", "Mo", "Ga", "Ti"], "frac_coords": [[0.000, 0.000, 0.500], [0.000, 0.500, 0.000], [0.500, 0.000, 0.000], [0.500, 0.500, 0.500]], "magnetic_moment_mub_per_cell": 0.00, "delta_e_f_ev_per_atom": -0.174, "energy_ev_per_atom": -8.32, "dos_at_fermi_per_ev_fu": 2.60, "space_group": "No. 123"}

=====

# 6
{"formula": "SmHo6Ga3", "functional": "PBE-GGA", "state": "optimized geometry", "lattice": [[8.234, 0.000, 0.000], [0.000, 8.289, 0.210], [0.000, -1.645, 8.127]], "species": ["Sm", "Sm", "Ho", "Ho", "Ho", "Ho", "Ho", "Ho", "Ho", "Ho", "Ho", "Ho", "Ho", "Ho", "Ga", "Ga", "Ga", "Ga", "Ga", "Ga"], "frac_coords": [[0.030, 0.332, 0.668], [0.530, 0.668, 0.332], [0.167, 0.733, 0.600], [0.667, 0.600, 0.733], [0.308, 0.589, 0.944], [0.808, 0.944, 0.589], [0.187, 0.035, 0.965], [0.514, 0.223, 0.777], [0.014, 0.777, 0.223], [0.687, 0.965, 0.035], [0.308, 0.056, 0.411], [0.808, 0.411, 0.056], [0.167, 0.400, 0.267], [0.667, 0.267, 0.400], [0.469, 0.880, 0.719], [0.969, 0.719, 0.880], [0.365, 0.429, 0.571], [0.865, 0.571, 0.429], [0.969, 0.120, 0.281], [0.469, 0.281, 0.120]], "magnetic_moment_mub_per_cell": 0.00, "delta_e_f_ev_per_atom": -0.307, "energy_ev_per_atom": -4.43, "dos_at_fermi_per_ev_fu": 11.40, "space_group": "No. 36"}

=====

# 7
{"formula": "Pa3SeN3", "functional": "PBE-GGA", "state": "optimized geometry", "lattice": [[6.743, 0.000, 0.000], [3.372, 5.840, 0.000], [3.372, 1.947, 6.844]], "species": ["Pa", "Pa", "Pa", "Pa", "Pa", "Pa", "Se", "Se", "N", "N", "N", "N", "N", "N"], "frac_coords": [[0.238, 0.564, 0.296], [0.902, 0.238, 0.296], [0.564, 0.902, 0.296], [0.436, 0.098, 0.704], [0.098, 0.762, 0.704], [0.762, 0.436, 0.704], [0.333, 0.333, 0.000], [0.667, 0.667, 0.000], [0.454, 0.797, 0.623], [0.797, 0.126, 0.623], [0.126, 0.454, 0.623], [0.874, 0.546, 0.377], [0.203, 0.874, 0.377], [0.546, 0.203, 0.377]], "magnetic_moment_mub_per_cell": 0.00, "e_form_raw_mev_per_atom": -1592, "energy_ev_per_atom": -9.73, "dos_at_fermi_per_ev_fu": 6.90, "space_group": "No. 148"}

=====

# 8
{"formula": "PaTl2Te6Pb3", "functional": "PBE-GGA", "state": "optimized geometry", "lattice": [[8.199, 0.003, 0.005], [-4.095, 7.103, 0.005], [-1.367, -2.367, 7.467]], "species": ["Pa", "Tl", "Tl", "Te", "Te", "Te", "Te", "Te", "Te", "Pb", "Pb", "Pb"], "frac_coords": [[0.000, 0.000, 0.000], [0.329, 0.671, 0.000], [0.671, 0.329, 0.000], [0.917, 0.612, 0.754], [0.773, 0.773, 0.250], [0.083, 0.388, 0.246], [0.612, 0.917, 0.754], [0.227, 0.227, 0.750], [0.388, 0.083, 0.246], [0.160, 0.840, 0.500], [0.840, 0.160, 0.500], [0.500, 0.500, 0.500]], "magnetic_moment_mub_per_cell": 1.02, "e_form_raw_mev_per_atom": -490, "energy_ev_per_atom": -4.17, "dos_at_fermi_per_ev_fu": 2.95, "space_group": "No. 12"}

=====

# 9
{"formula": "ZrInAs2", "functional": "PBE-GGA", "state": "optimized geometry", "lattice": [[-4.609, 0.498, 2.208], [-2.992, -2.109, 3.601], [1.543, 3.212, 4.221]], "species": ["As", "As", "Zr", "In"], "frac_coords": [[0.978, 0.978, 0.078], [0.522, 0.522, 0.422], [0.250, 0.250, 0.250], [0.750, 0.750, 0.750]], "magnetic_moment_mub_per_cell": 0.00, "delta_e_f_ev_per_atom": -0.272, "energy_ev_per_atom": -5.42, "dos_at_fermi_per_ev_fu": 2.46, "space_group": "No. 12"}

=====

# 10
{"formula": "ZnIn2CuSi", "functional": "PBE-GGA", "state": "optimized geometry", "lattice": [[-0.718, -0.965, -5.099], [-4.188, -1.629, 0.898], [-2.001, 4.801, -0.627]], "species": ["Zn", "Si", "Cu", "In", "In"], "frac_coords": [[0.000, 0.000, 0.000], [0.000, 0.500, 0.000], [0.500, 0.500, 0.500], [0.000, 0.000, 0.500], [0.500, 0.000, 0.000]], "magnetic_moment_mub_per_cell": 0.00, "e_form_raw_mev_per_atom": 745, "energy_ev_per_atom": -2.51, "dos_at_fermi_per_ev_fu": 3.24, "space_group": "No. 123"}

=====

# 11
{"formula": "CaBeOs", "functional": "PBE-GGA", "state": "optimized geometry", "lattice": [[4.479, 0.000, 0.000], [2.239, 3.879, 0.000], [2.239, 1.293, 3.657]], "species": ["Be", "Ca", "Os"], "frac_coords": [[0.500, 0.500, 0.500], [0.750, 0.750, 0.750], [0.000, 0.000, 0.000]], "magnetic_moment_mub_per_cell": 0.71, "delta_e_f_ev_per_atom": 1.855, "energy_ev_per_atom": -3.80, "dos_at_fermi_per_ev_fu": 7.26, "e_above_lowest_polymorph_ev_per_atom": 1.8097, "space_group": "No. 216"}